## Li2TiIr2 (PBE)

Data for a relaxed Li2TiIr2 crystal.

Total magnetic moment   0.000 μB per cell
Energy of formation from the pure elements   -0.21 eV per atom
Volume   127.9 Å³/cell
E   -6.0957 eV/atom

Structure (extended XYZ):
```
10
Lattice="6.5365 0.0000 0.0000 0.0000 6.5365 0.0000 0.0000 0.0000 2.9924" Properties=species:S:1:pos:R:3 pbc="T T T"
Ir 1.2794 4.5477 1.4962
Ir 4.5477 5.2571 1.4962
Ir 5.2571 1.9888 1.4962
Ir 1.9888 1.2794 1.4962
Li 2.5763 5.8446 0.0000
Li 5.8446 3.9602 0.0000
Li 3.9602 0.6920 0.0000
Li 0.6920 2.5763 0.0000
Ti 0.0000 0.0000 0.0000
Ti 3.2683 3.2683 0.0000
```

## LiTi4Ir5 (PBE)

Data for a relaxed LiTi4Ir5 crystal.

Total magnetic moment   0.000 μB per cell
Energy of formation from the pure elements   -0.76 eV per atom
Volume   146.2 Å³/cell
E   -8.5373 eV/atom

Structure (extended XYZ):
```
10
Lattice="-0.6533 -1.9963 2.3440 -1.0109 -2.1243 -2.0909 13.6374 -5.5652 -0.9389" Properties=species:S:1:pos:R:3 pbc="T T T"
Li 0.0000 0.0000 0.0000
Ti 2.5676 -1.0478 -0.1768
Ti 5.4178 -2.2109 -0.3730
Ti 8.2196 -3.3543 -0.5659
Ti 11.0698 -4.5174 -0.7621
Ir 0.4621 -2.5884 0.0374
Ir 3.2165 -3.7125 -0.1522
Ir 5.9866 -4.8429 -0.3429
Ir 8.7568 -5.9734 -0.5336
Ir 11.5112 -7.0974 -0.7233
```

## LiTi3Ir (PBE)

Data for a relaxed LiTi3Ir crystal.

Total magnetic moment   2.333 μB per cell
Energy of formation from the pure elements   0.33 eV per atom
Volume   112.1 Å³/cell
E   -6.5662 eV/atom

Structure (extended XYZ):
```
5
Lattice="-3.9718 2.2629 -1.5350 -2.6094 -2.3277 3.3203 0.8172 3.5655 3.1419" Properties=species:S:1:pos:R:3 pbc="T T T"
Ir 0.0000 0.0000 0.0000
Li -2.8820 1.7504 2.4636
Ti -1.3047 -1.1639 1.6602
Ti 0.4086 1.7828 1.5709
Ti -1.9859 1.1315 -0.7675
```

## Li2TiIr (PBE)

Data for a relaxed Li2TiIr crystal.

Total magnetic moment   0.000 μB per cell
Energy of formation from the pure elements   -0.09 eV per atom
Volume   125.9 Å³/cell
E   -5.2314 eV/atom

Structure (extended XYZ):
```
8
Lattice="3.5666 0.0000 0.0000 0.0000 3.5666 0.0000 1.7833 1.7833 9.8957" Properties=species:S:1:pos:R:3 pbc="T T T"
Ir 0.0000 0.0000 0.0000
Ir 3.5666 1.7833 4.9479
Li 0.7932 0.8917 2.4739
Li 2.7735 2.6750 2.4739
Li 2.6750 4.5568 7.4218
Li 4.4583 2.5765 7.4218
Ti 1.7833 1.7833 0.0000
Ti 1.7833 3.5666 4.9479
```

## LiTi6Ir5 (PBE)

Data for a relaxed LiTi6Ir5 crystal.

Total magnetic moment   0.000 μB per cell
Energy of formation from the pure elements   -0.73 eV per atom
Volume   180.2 Å³/cell
E   -8.5247 eV/atom

Structure (extended XYZ):
```
12
Lattice="4.0787 0.0034 -1.2549 -0.7193 6.0909 -2.3210 0.0770 -0.6618 7.5034" Properties=species:S:1:pos:R:3 pbc="T T T"
Ti 0.4081 2.3166 1.3327
Ti 0.0476 5.3698 0.1692
Ti 1.8619 1.5037 -1.1998
Ti 1.4975 4.5907 -2.3762
Ti 3.3888 0.0627 3.7583
Ti 3.0283 3.1159 2.5948
Ir 0.8231 4.6514 2.6875
Ir 2.2678 3.8458 0.1255
Ir -0.3596 3.0455 -1.1605
Ir 1.1686 1.5868 3.8020
Ir 2.6133 0.7811 1.2400
Li 0.0000 0.0000 0.0000
```

## LiTi2Ir (PBE)

Data for a relaxed LiTi2Ir crystal.

Total magnetic moment   0.000 μB per cell
Energy of formation from the pure elements   0.22 eV per atom
Volume   63.2 Å³/cell
E   -6.4228 eV/atom

Structure (extended XYZ):
```
4
Lattice="1.4474 5.3614 1.0198 -4.9968 -2.6288 -0.0253 -0.6953 -5.3554 1.6480" Properties=species:S:1:pos:R:3 pbc="T T T"
Li 0.0000 0.0000 0.0000
Ti -1.4433 -2.0245 0.4115
Ti -4.2488 -5.9598 1.2113
Ir -2.8460 -3.9921 0.8114
```

## LiTi2Ir3 (PBE)

Data for a relaxed LiTi2Ir3 crystal.

Total magnetic moment   0.000 μB per cell
Energy of formation from the pure elements   -0.74 eV per atom
Volume   85.2 Å³/cell
E   -8.1214 eV/atom

Structure (extended XYZ):
```
6
Lattice="-2.5530 -1.5768 0.7595 0.9706 -0.1578 2.9349 -4.1819 7.6347 1.7934" Properties=species:S:1:pos:R:3 pbc="T T T"
Li -2.8822 2.9500 2.7439
Ti -4.2144 5.3822 3.3152
Ti -1.5500 0.5179 2.1726
Ir 0.0000 0.0000 0.0000
Ir -2.7572 5.0337 1.1824
Ir -1.4247 2.6010 0.6110
```

## LiTi2Ir (PBE)

Data for a relaxed LiTi2Ir crystal.

Total magnetic moment   0.000 μB per cell
Energy of formation from the pure elements   -0.41 eV per atom
Volume   59.6 Å³/cell
E   -7.0558 eV/atom

Structure (extended XYZ):
```
4
Lattice="3.0601 0.0000 0.0000 0.0000 4.4142 0.0000 0.0000 0.0000 4.4142" Properties=species:S:1:pos:R:3 pbc="T T T"
Ir 1.5301 2.2071 2.2071
Li 1.5301 0.0000 0.0000
Ti 0.0000 0.0000 2.2071
Ti 0.0000 2.2071 0.0000
```

## LiTiIr2 (PBE)

Data for a relaxed LiTiIr2 crystal.

Total magnetic moment   0.000 μB per cell
Energy of formation from the pure elements   -0.64 eV per atom
Volume   55.0 Å³/cell
E   -7.5259 eV/atom

Structure (extended XYZ):
```
4
Lattice="0.0000 3.0185 3.0185 3.0185 0.0000 3.0185 3.0185 3.0185 0.0000" Properties=species:S:1:pos:R:3 pbc="T T T"
Ir 1.5092 1.5092 1.5092
Ir 4.5277 4.5277 4.5277
Li 0.0000 0.0000 0.0000
Ti 3.0185 3.0185 3.0185
```

## LiTiIr2 (PBE)

Data for a relaxed LiTiIr2 crystal.

Total magnetic moment   0.000 μB per cell
Energy of formation from the pure elements   -0.57 eV per atom
Volume   55.0 Å³/cell
E   -7.4522 eV/atom

Structure (extended XYZ):
```
4
Lattice="-0.5290 0.8610 2.9272 -3.9604 -1.4044 -0.3027 1.2433 -3.7953 1.3410" Properties=species:S:1:pos:R:3 pbc="T T T"
Ir 0.6217 -1.8976 0.6705
Ir -1.9802 -0.7022 -0.1513
Li -1.6230 -2.1693 1.9827
Ti -0.2645 0.4305 1.4636
```

## LiTi3Ir (PBE)

Data for a relaxed LiTi3Ir crystal.

Total magnetic moment   0.000 μB per cell
Energy of formation from the pure elements   0.71 eV per atom
Volume   76.6 Å³/cell
E   -6.1853 eV/atom

Structure (extended XYZ):
```
5
Lattice="-1.8693 1.7745 -3.3758 3.1971 -1.3206 -2.4645 -2.0793 -3.6257 -0.7545" Properties=species:S:1:pos:R:3 pbc="T T T"
Ir -0.3758 -1.5859 -3.2974
Li 0.0000 0.0000 0.0000
Ti 1.5985 -0.6603 -1.2323
Ti -1.0397 -1.8129 -0.3773
Ti -0.9346 0.8873 -1.6879
```

## Li2TiIr (PBE)

Data for a relaxed Li2TiIr crystal.

Total magnetic moment   0.000 μB per cell
Energy of formation from the pure elements   0.04 eV per atom
Volume   52.7 Å³/cell
E   -5.1067 eV/atom

Structure (extended XYZ):
```
4
Lattice="0.0000 2.9759 2.9759 2.9759 0.0000 2.9759 2.9759 2.9759 0.0000" Properties=species:S:1:pos:R:3 pbc="T T T"
Ir 2.9759 2.9759 2.9759
Li 1.4880 1.4880 1.4880
Li 4.4639 4.4639 4.4639
Ti 0.0000 0.0000 0.0000
```

## LiTiIr3 (PBE)

Data for a relaxed LiTiIr3 crystal.

Total magnetic moment   0.000 μB per cell
Energy of formation from the pure elements   0.92 eV per atom
Volume   97.8 Å³/cell
E   -6.3588 eV/atom

Structure (extended XYZ):
```
5
Lattice="-1.6874 2.9908 -3.0716 -4.2173 -1.7515 0.6113 -0.7708 3.0355 3.3791" Properties=species:S:1:pos:R:3 pbc="T T T"
Ir -2.1086 -0.8757 0.3057
Ir -0.3854 1.5177 1.6896
Ir -0.8437 1.4954 -1.5358
Li -3.3378 2.1374 0.4594
Ti 0.0000 0.0000 0.0000
```

## LiTiIr2 (PBE)

Data for a relaxed LiTiIr2 crystal.

Total magnetic moment   0.000 μB per cell
Energy of formation from the pure elements   -0.05 eV per atom
Volume   124.5 Å³/cell
E   -6.9328 eV/atom

Structure (extended XYZ):
```
8
Lattice="6.7889 0.0000 0.0000 0.0000 6.7889 0.0000 3.3945 3.3945 2.7008" Properties=species:S:1:pos:R:3 pbc="T T T"
Ir 5.1750 1.6972 0.6752
Ir 1.6139 5.0917 0.6752
Ir 5.0917 5.0084 2.0256
Ir 8.4862 8.5695 2.0256
Li 3.3945 3.3945 0.0000
Li 3.3945 6.7889 1.3504
Ti 0.0000 0.0000 0.0000
Ti 6.7889 3.3945 1.3504
```

## LiTi3Ir4 (PBE)

Data for a relaxed LiTi3Ir4 crystal.

Total magnetic moment   0.000 μB per cell
Energy of formation from the pure elements   -0.75 eV per atom
Volume   115.7 Å³/cell
E   -8.3779 eV/atom

Structure (extended XYZ):
```
8
Lattice="3.1291 0.0000 0.0000 0.0000 3.1291 0.0000 0.0000 0.0000 11.8115" Properties=species:S:1:pos:R:3 pbc="T T T"
Ti 1.5646 1.5646 2.7974
Ti 1.5646 1.5646 5.9058
Ti 1.5646 1.5646 9.0141
Ir 0.0000 0.0000 10.4095
Ir 0.0000 0.0000 1.4020
Ir 0.0000 0.0000 4.4020
Ir 0.0000 0.0000 7.4095
Li 1.5646 1.5646 0.0000
```

## LiTi2Ir (PBE)

Data for a relaxed LiTi2Ir crystal.

Total magnetic moment   0.000 μB per cell
Energy of formation from the pure elements   0.00 eV per atom
Volume   133.4 Å³/cell
E   -6.6375 eV/atom

Structure (extended XYZ):
```
8
Lattice="-3.6309 -5.9952 -0.9773 0.7797 -1.5891 6.8518 -3.6930 -2.5095 3.4928" Properties=species:S:1:pos:R:3 pbc="T T T"
Ir 0.0000 0.0000 0.0000
Ir -4.3747 -6.1484 2.7264
Li -1.4256 -3.7922 2.9373
Li -2.1695 -3.9454 6.6409
Ti -3.1945 -4.7372 1.0921
Ti -0.7904 -2.2058 5.0602
Ti -3.8603 -4.6827 4.6348
Ti -5.2432 -8.5619 7.9474
```

## LiTi3Ir3 (PBE)

Data for a relaxed LiTi3Ir3 crystal.

Total magnetic moment   0.000 μB per cell
Energy of formation from the pure elements   -0.56 eV per atom
Volume   221.9 Å³/cell
E   -8.0181 eV/atom

Structure (extended XYZ):
```
14
Lattice="-4.5197 4.1422 -0.0382 -1.5162 -1.8180 -5.6553 -3.6902 -4.0055 2.2771" Properties=species:S:1:pos:R:3 pbc="T T T"
Li -5.3142 -3.3802 0.7451
Li -4.4119 1.6988 -4.1616
Ti -3.3752 -1.4136 -0.3047
Ti -4.1906 -2.1752 -2.9659
Ti -5.5355 0.4938 -0.4505
Ti -2.2525 -0.3569 -4.2782
Ti -3.7834 2.6810 -1.4153
Ti -6.3509 -0.2678 -3.1117
Ir -8.7929 -0.6685 -3.9923
Ir -3.1807 1.0715 0.5491
Ir -1.6790 -1.9086 -2.2594
Ir -6.5454 -2.7529 -3.9655
Ir -8.0471 0.2272 -1.1570
Ir -0.9332 -1.0129 0.5758
```

## LiTmTiIr (PBE)

Data for a relaxed LiTmTiIr crystal.

Total magnetic moment   0.430 μB per cell
Energy of formation from the pure elements   -0.45 eV per atom
Volume   70.2 Å³/cell
E   -6.2378 eV/atom

Structure (extended XYZ):
```
4
Lattice="4.6313 0.0000 0.0000 2.3156 4.0108 0.0000 2.3156 1.3369 3.7814" Properties=species:S:1:pos:R:3 pbc="T T T"
Ir 0.0000 0.0000 0.0000
Tm 6.9469 4.0108 2.8361
Li 4.6313 2.6739 1.8907
Ti 2.3156 1.3369 0.9454
```

## LiYTiIr (PBE)

Data for a relaxed LiYTiIr crystal.

Total magnetic moment   0.475 μB per cell
Energy of formation from the pure elements   -0.38 eV per atom
Volume   72.3 Å³/cell
E   -6.6658 eV/atom

Structure (extended XYZ):
```
4
Lattice="4.6757 0.0000 0.0000 2.3379 4.0493 0.0000 2.3379 1.3498 3.8177" Properties=species:S:1:pos:R:3 pbc="T T T"
Y 7.0136 4.0493 2.8633
Ir 4.6757 2.6995 1.9089
Li 0.0000 0.0000 0.0000
Ti 2.3379 1.3498 0.9544
```

## LiTiZnIr (PBE)

Data for a relaxed LiTiZnIr crystal.

Total magnetic moment   0.802 μB per cell
Energy of formation from the pure elements   -0.43 eV per atom
Volume   57.3 Å³/cell
E   -5.4208 eV/atom

Structure (extended XYZ):
```
4
Lattice="4.3279 0.0000 0.0000 2.1639 3.7480 0.0000 2.1639 1.2493 3.5337" Properties=species:S:1:pos:R:3 pbc="T T T"
Zn 6.4918 3.7480 2.6503
Ir 0.0000 0.0000 0.0000
Li 4.3279 2.4987 1.7668
Ti 2.1639 1.2493 0.8834
```

## Li2TlIr (PBE)

Data for a relaxed Li2TlIr crystal.

Total magnetic moment   0.000 μB per cell
Energy of formation from the pure elements   -0.05 eV per atom
Volume   64.1 Å³/cell
E   -3.8139 eV/atom

Structure (extended XYZ):
```
4
Lattice="-2.0467 -2.6458 2.3672 -2.2677 -1.0024 -3.0811 2.5683 -2.8488 -0.9635" Properties=species:S:1:pos:R:3 pbc="T T T"
Ir 0.2608 -2.7473 0.7018
Li 0.0000 0.0000 0.0000
Li 0.1503 -1.9256 -2.0223
Tl -2.1572 -1.8241 -0.3569
```

## LiTlIr2 (PBE)

Data for a relaxed LiTlIr2 crystal.

Total magnetic moment   1.125 μB per cell
Energy of formation from the pure elements   0.24 eV per atom
Volume   64.3 Å³/cell
E   -5.2559 eV/atom

Structure (extended XYZ):
```
4
Lattice="4.4965 0.0000 0.0000 2.2482 3.8941 0.0000 2.2482 1.2980 3.6714" Properties=species:S:1:pos:R:3 pbc="T T T"
Ir 0.0000 0.0000 0.0000
Ir 6.7447 3.8941 2.7535
Li 4.4965 2.5960 1.8357
Tl 2.2482 1.2980 0.9178
```

## LiTlIr2 (PBE)

Data for a relaxed LiTlIr2 crystal.

Total magnetic moment   0.000 μB per cell
Energy of formation from the pure elements   0.17 eV per atom
Volume   69.7 Å³/cell
E   -5.3323 eV/atom

Structure (extended XYZ):
```
4
Lattice="2.8661 -0.0001 0.0000 0.0001 2.8661 0.0000 0.0000 0.0000 8.4865" Properties=species:S:1:pos:R:3 pbc="T T T"
Ir 0.0000 0.0000 0.3342
Ir 1.4331 1.4330 2.0264
Li 0.0000 0.0000 3.9120
Tl 1.4331 1.4330 6.4570
```

## LiTlIr2 (PBE)

Data for a relaxed LiTlIr2 crystal.

Total magnetic moment   0.000 μB per cell
Energy of formation from the pure elements   0.19 eV per atom
Volume   65.8 Å³/cell
E   -5.3104 eV/atom

Structure (extended XYZ):
```
4
Lattice="4.7804 -0.0006 0.0121 3.8961 2.7699 0.0121 0.7155 0.2284 4.9711" Properties=species:S:1:pos:R:3 pbc="T T T"
Ir 8.6655 2.7657 0.3106
Ir 2.3805 0.7598 1.1052
Li 4.7356 1.5114 2.4748
Tl 6.9829 2.2287 3.6264
```

## LiTlIr2 (PBE)

Data for a relaxed LiTlIr2 crystal.

Total magnetic moment   0.000 μB per cell
Energy of formation from the pure elements   0.23 eV per atom
Volume   64.2 Å³/cell
E   -5.2672 eV/atom

Structure (extended XYZ):
```
4
Lattice="-1.0629 -2.4988 1.1700 2.0692 1.0398 4.1007 -3.7959 2.2449 1.3462" Properties=species:S:1:pos:R:3 pbc="T T T"
Ir 0.0000 0.0000 0.0000
Ir 0.5032 -0.7295 2.6353
Li -2.4294 -0.1270 1.2581
Tl -0.8633 1.6423 2.7234
```

## Li2TlIr (PBE)

Data for a relaxed Li2TlIr crystal.

Total magnetic moment   0.000 μB per cell
Energy of formation from the pure elements   -0.07 eV per atom
Volume   62.7 Å³/cell
E   -3.8323 eV/atom

Structure (extended XYZ):
```
4
Lattice="-1.7940 -4.4516 -0.4507 1.4000 -1.7360 -4.2737 2.5373 2.0292 3.5612" Properties=species:S:1:pos:R:3 pbc="T T T"
Ir 0.2731 -2.7581 0.3742
Li 0.0000 0.0000 0.0000
Li -0.1970 -3.0938 -2.3622
Tl 1.8701 -1.4003 -1.5373
```

## LiTlIr2 (PBE)

Data for a relaxed LiTlIr2 crystal.

Total magnetic moment   0.000 μB per cell
Energy of formation from the pure elements   0.23 eV per atom
Volume   63.9 Å³/cell
E   -5.2676 eV/atom

Structure (extended XYZ):
```
4
Lattice="3.9177 0.0000 0.0000 0.0000 3.9177 0.0000 0.0000 0.0000 4.1646" Properties=species:S:1:pos:R:3 pbc="T T T"
Ir 0.0000 0.0000 0.0000
Ir 1.9589 1.9589 0.0000
Li 1.9589 0.0000 2.0823
Tl 0.0000 1.9589 2.0823
```